# 1
Computed, not measured: LaGe2Pt8 after structural relaxation at the GGA-PBE level of DFT.

Structure (CIF):
```
data_LaGe2Pt8
_chemical_formula_sum 'La1 Ge2 Pt8'
_space_group_name_H-M_alt 'P 1'
_space_group_IT_number 1
_cell_length_a 5.436
_cell_length_b 5.436
_cell_length_c 8.033
_cell_angle_alpha 90.00
_cell_angle_beta 90.00
_cell_angle_gamma 90.00
loop_
_space_group_symop_operation_xyz
'x,y,z'
loop_
_atom_site_label
_atom_site_type_symbol
_atom_site_fract_x
_atom_site_fract_y
_atom_site_fract_z
La1 La 0.000 0.000 0.000
Ge1 Ge 0.000 0.500 0.500
Ge2 Ge 0.500 0.000 0.500
Pt1 Pt 0.253 0.253 0.292
Pt2 Pt 0.253 0.253 0.708
Pt3 Pt 0.253 0.747 0.292
Pt4 Pt 0.253 0.747 0.708
Pt5 Pt 0.747 0.253 0.292
Pt6 Pt 0.747 0.253 0.708
Pt7 Pt 0.747 0.747 0.292
Pt8 Pt 0.747 0.747 0.708
```

Calculated values
Energy relative to the elements in kJ/mol of formula units: -286
Space-group type: P4/mmm (123)

***

# 2
Computed, not measured: Pu2CdTc after structural relaxation at the GGA-PBE level of DFT.

Structure (CIF):
```
data_Pu2CdTc
_chemical_formula_sum 'Pu2 Cd1 Tc1'
_space_group_name_H-M_alt 'P 1'
_space_group_IT_number 1
_cell_length_a 3.220
_cell_length_b 3.220
_cell_length_c 8.689
_cell_angle_alpha 90.00
_cell_angle_beta 90.00
_cell_angle_gamma 90.00
loop_
_space_group_symop_operation_xyz
'x,y,z'
loop_
_atom_site_label
_atom_site_type_symbol
_atom_site_fract_x
_atom_site_fract_y
_atom_site_fract_z
Pu1 Pu 0.000 0.000 0.208
Pu2 Pu 0.000 0.000 0.792
Cd1 Cd 0.500 0.500 0.500
Tc1 Tc 0.500 0.500 0.000
```

Calculated values
Energy relative to the elements in kJ/mol of formula units: -15
Space-group type: P4/mmm (123)

***

# 3
Computed, not measured: TlHg12Pb6 after structural relaxation at the GGA-PBE level of DFT.

Structure (CIF):
```
data_TlHg12Pb6
_chemical_formula_sum 'Tl1 Hg12 Pb6'
_space_group_name_H-M_alt 'P 1'
_space_group_IT_number 1
_cell_length_a 9.103
_cell_length_b 9.103
_cell_length_c 9.103
_cell_angle_alpha 111.21
_cell_angle_beta 111.21
_cell_angle_gamma 111.21
loop_
_space_group_symop_operation_xyz
'x,y,z'
loop_
_atom_site_label
_atom_site_type_symbol
_atom_site_fract_x
_atom_site_fract_y
_atom_site_fract_z
Tl1 Tl 0.000 0.000 0.000
Hg1 Hg 0.021 0.357 0.555
Hg2 Hg 0.095 0.749 0.182
Hg3 Hg 0.182 0.095 0.749
Hg4 Hg 0.251 0.818 0.905
Hg5 Hg 0.357 0.555 0.021
Hg6 Hg 0.445 0.979 0.643
Hg7 Hg 0.555 0.021 0.357
Hg8 Hg 0.643 0.445 0.979
Hg9 Hg 0.749 0.182 0.095
Hg10 Hg 0.818 0.905 0.251
Hg11 Hg 0.905 0.251 0.818
Hg12 Hg 0.979 0.643 0.445
Pb1 Pb 0.224 0.488 0.295
Pb2 Pb 0.295 0.224 0.488
Pb3 Pb 0.488 0.295 0.224
Pb4 Pb 0.512 0.705 0.776
Pb5 Pb 0.705 0.776 0.512
Pb6 Pb 0.776 0.512 0.705
```

Calculated values
ΔE to the lowest computed polymorph in meV per atom: 0
Energy relative to the elements in kJ/mol of formula units: 74
Space-group type: R-3 (148)

***

# 4
Computed, not measured: TaFe3Pd after structural relaxation at the GGA-PBE level of DFT.

Structure (CIF):
```
data_TaFe3Pd
_chemical_formula_sum 'Ta1 Fe3 Pd1'
_space_group_name_H-M_alt 'P 1'
_space_group_IT_number 1
_cell_length_a 4.526
_cell_length_b 4.526
_cell_length_c 4.526
_cell_angle_alpha 90.00
_cell_angle_beta 90.00
_cell_angle_gamma 90.00
loop_
_space_group_symop_operation_xyz
'x,y,z'
loop_
_atom_site_label
_atom_site_type_symbol
_atom_site_fract_x
_atom_site_fract_y
_atom_site_fract_z
Ta1 Ta 0.000 0.000 0.000
Fe1 Fe 0.000 0.500 0.500
Fe2 Fe 0.500 0.000 0.500
Fe3 Fe 0.500 0.500 0.000
Pd1 Pd 0.500 0.500 0.500
```

Calculated values
ΔE to the lowest computed polymorph in meV per atom: 0
Energy relative to the elements in kJ/mol of formula units: 689
Space-group type: Pm-3m (221)

***

# 5
Computed, not measured: TcHgP2Cl after structural relaxation at the GGA-PBE level of DFT.

Structure (CIF):
```
data_TcHgP2Cl
_chemical_formula_sum 'Tc1 Hg1 P2 Cl1'
_space_group_name_H-M_alt 'P 1'
_space_group_IT_number 1
_cell_length_a 4.578
_cell_length_b 4.578
_cell_length_c 5.193
_cell_angle_alpha 90.00
_cell_angle_beta 90.00
_cell_angle_gamma 90.00
loop_
_space_group_symop_operation_xyz
'x,y,z'
loop_
_atom_site_label
_atom_site_type_symbol
_atom_site_fract_x
_atom_site_fract_y
_atom_site_fract_z
Tc1 Tc 0.000 0.000 0.000
Hg1 Hg 0.500 0.500 0.500
P1 P 0.000 0.500 0.000
P2 P 0.500 0.000 0.000
Cl1 Cl 0.000 0.000 0.500
```

Calculated values
ΔE to the lowest computed polymorph in meV per atom: 0
E_form (uncorrected) in meV per atom: 242
Space-group type: P4/mmm (123)

***

# 6
Computed, not measured: NiWAu3 after structural relaxation at the GGA-PBE level of DFT.

Structure (CIF):
```
data_NiWAu3
_chemical_formula_sum 'Ni1 W1 Au3'
_space_group_name_H-M_alt 'P 1'
_space_group_IT_number 1
_cell_length_a 5.036
_cell_length_b 5.036
_cell_length_c 5.036
_cell_angle_alpha 90.00
_cell_angle_beta 90.00
_cell_angle_gamma 90.00
loop_
_space_group_symop_operation_xyz
'x,y,z'
loop_
_atom_site_label
_atom_site_type_symbol
_atom_site_fract_x
_atom_site_fract_y
_atom_site_fract_z
Ni1 Ni 0.000 0.000 0.000
W1 W 0.500 0.500 0.500
Au1 Au 0.000 0.500 0.500
Au2 Au 0.500 0.000 0.500
Au3 Au 0.500 0.500 0.000
```

Calculated values
ΔE to the lowest computed polymorph in meV per atom: 119
Energy relative to the elements in kJ/mol of formula units: 783
Space-group type: Pm-3m (221)

***

In order of appearance, spin magnetization = 0.000, 10.418, 0.000, 7.607, 0.000, 0.698 μB per formula unit.
In order of appearance, calculated density = 12.907, 12.874, 11.852, 8.147, 6.041, 10.833 Mg/m³.
In order of appearance, E_tot = -5.9507, -10.0263, -1.4461, -7.0580, -4.4248, -4.0912 eV per atom.